The following is a DFT calculation (PBE) of crystalline Cr2MoRh at its relaxed geometry.

The formation energy comes out at 270 meV/atom. The calculation puts the magnetization at 0.00 μB per cell. The calculation puts the density at 9.194 g cm⁻³. The value obtained for the volume is 54.70 Å³/cell.

Unit cell a=9.0298 b=9.0298 c=9.0298 alpha=16.97 beta=16.97 gamma=16.97
With the nearest neighbours (Å) after each atom.
Positions (direct):
1 Cr 0.2456 0.2456 0.2456  3 Rh 2.61, 6 Cr 2.66, 3 Mo 2.80
2 Cr 0.7544 0.7544 0.7544  3 Rh 2.61, 6 Cr 2.66, 3 Mo 2.80
3 Mo 0.0000 0.0000 0.0000  6 Mo 2.66, 6 Cr 2.80
4 Rh 0.5000 0.5000 0.5000  6 Cr 2.61, 6 Rh 2.66